# 1
Sr2Ni2Au after structural relaxation. Source: Alexandria, functional PBE. Values from VASP.

Symmetry = P4/mbm (127)
Calculated total energy = -0.27919 Ry/atom
Polymorph energy (0 for the lowest one) = 0.0 kJ/mol of formula units

Geometry as Quantum ESPRESSO input:
```
&SYSTEM
  ibrav = 0, nat = 10, ntyp = 3
/
ATOMIC_SPECIES
Sr 87.62 Sr.upf
Au 196.97 Au.upf
Ni 58.69 Ni.upf
ATOMIC_POSITIONS crystal
Sr 0.183 0.683 0.500
Sr 0.683 0.817 0.500
Sr 0.817 0.317 0.500
Sr 0.317 0.183 0.500
Au 0.000 0.000 0.000
Au 0.500 0.500 0.000
Ni 0.384 0.884 0.000
Ni 0.884 0.616 0.000
Ni 0.616 0.116 0.000
Ni 0.116 0.384 0.000
CELL_PARAMETERS angstrom
-6.215 0.288 -3.603
-3.195 -3.786 5.210
-1.022 3.694 2.058
```



# 2
Sr2Ni2Au after structural relaxation. Source: Alexandria, functional PBE. Values from VASP.

Symmetry = I4/mmm (139)
Calculated total energy = -0.27257 Ry/atom
Polymorph energy (0 for the lowest one) = 43.5 kJ/mol of formula units

Geometry as Quantum ESPRESSO input:
```
&SYSTEM
  ibrav = 0, nat = 5, ntyp = 3
/
ATOMIC_SPECIES
Sr 87.62 Sr.upf
Au 196.97 Au.upf
Ni 58.69 Ni.upf
ATOMIC_POSITIONS crystal
Sr 0.750 0.250 0.500
Sr 0.250 0.750 0.500
Au 0.000 0.000 0.000
Ni 0.345 0.345 0.309
Ni 0.655 0.655 0.691
CELL_PARAMETERS angstrom
5.749 0.000 0.000
0.000 5.749 0.000
2.875 2.875 3.720
```



# 3
SrNiAu2 after structural relaxation. Source: Alexandria, functional PBE. Values from VASP.

Symmetry = Pm (6)
Calculated total energy = -0.27764 Ry/atom

Geometry as Quantum ESPRESSO input:
```
&SYSTEM
  ibrav = 0, nat = 4, ntyp = 3
/
ATOMIC_SPECIES
Au 196.97 Au.upf
Ni 58.69 Ni.upf
Sr 87.62 Sr.upf
ATOMIC_POSITIONS crystal
Au 0.000 0.238 0.973
Au 0.500 0.252 0.285
Ni 0.000 0.262 0.487
Sr 0.500 0.748 0.756
CELL_PARAMETERS angstrom
-2.962 2.908 -1.867
-2.146 0.139 3.621
2.848 3.945 1.627
```



# 4
SrNiAu after structural relaxation. Source: Alexandria, functional PBE. Values from VASP.

Symmetry = F-43m (216)
Calculated total energy = -0.27045 Ry/atom

Geometry as Quantum ESPRESSO input:
```
&SYSTEM
  ibrav = 0, nat = 3, ntyp = 3
/
ATOMIC_SPECIES
Au 196.97 Au.upf
Ni 58.69 Ni.upf
Sr 87.62 Sr.upf
ATOMIC_POSITIONS crystal
Au 0.500 0.500 0.500
Ni 0.750 0.750 0.750
Sr 0.000 0.000 0.000
CELL_PARAMETERS angstrom
4.652 0.000 0.000
2.326 4.029 0.000
2.326 1.343 3.798
```



# 5
SrNiAu2 after structural relaxation. Source: Alexandria, functional PBE. Values from VASP.

Symmetry = F-43m (216)
Calculated total energy = -0.26279 Ry/atom

Geometry as Quantum ESPRESSO input:
```
&SYSTEM
  ibrav = 0, nat = 4, ntyp = 3
/
ATOMIC_SPECIES
Au 196.97 Au.upf
Ni 58.69 Ni.upf
Sr 87.62 Sr.upf
ATOMIC_POSITIONS crystal
Au 0.000 0.000 0.000
Au 0.250 0.250 0.250
Ni 0.500 0.500 0.500
Sr 0.750 0.750 0.750
CELL_PARAMETERS angstrom
-0.677 -4.811 -0.479
1.473 -2.281 -4.057
3.824 -3.031 0.155
```



# 6
SrNiAu after structural relaxation. Source: Alexandria, functional PBE. Values from VASP.

Symmetry = P2_1/c (14)
Calculated total energy = -0.28754 Ry/atom

Geometry as Quantum ESPRESSO input:
```
&SYSTEM
  ibrav = 0, nat = 12, ntyp = 3
/
ATOMIC_SPECIES
Au 196.97 Au.upf
Sr 87.62 Sr.upf
Ni 58.69 Ni.upf
ATOMIC_POSITIONS crystal
Au 0.363 0.833 0.922
Au 0.637 0.167 0.078
Au 0.863 0.667 0.578
Au 0.137 0.333 0.422
Sr 0.868 0.706 0.090
Sr 0.632 0.206 0.590
Sr 0.132 0.294 0.910
Sr 0.368 0.794 0.410
Ni 0.421 0.466 0.162
Ni 0.579 0.534 0.838
Ni 0.079 0.966 0.662
Ni 0.921 0.034 0.338
CELL_PARAMETERS angstrom
-0.641 3.281 -5.354
0.350 -5.633 -3.495
-6.489 -2.338 -0.656
```



# 7
Sr2NiAu after structural relaxation. Source: Alexandria, functional PBE. Values from VASP.

Symmetry = C2/m (12)
Calculated total energy = -0.24182 Ry/atom

Geometry as Quantum ESPRESSO input:
```
&SYSTEM
  ibrav = 0, nat = 4, ntyp = 3
/
ATOMIC_SPECIES
Au 196.97 Au.upf
Ni 58.69 Ni.upf
Sr 87.62 Sr.upf
ATOMIC_POSITIONS crystal
Au 0.750 0.750 0.750
Ni 0.250 0.250 0.250
Sr 0.993 0.993 0.021
Sr 0.507 0.507 0.479
CELL_PARAMETERS angstrom
4.355 0.063 -0.041
2.137 3.795 -0.041
2.216 1.317 7.359
```



# 8
SrNiAu after structural relaxation. Source: Alexandria, functional PBE. Values from VASP.

Symmetry = P-6m2 (187)
Calculated total energy = -0.28950 Ry/atom

Geometry as Quantum ESPRESSO input:
```
&SYSTEM
  ibrav = 0, nat = 3, ntyp = 3
/
ATOMIC_SPECIES
Au 196.97 Au.upf
Ni 58.69 Ni.upf
Sr 87.62 Sr.upf
ATOMIC_POSITIONS crystal
Au 0.000 0.000 0.167
Ni 0.667 0.333 0.167
Sr 0.333 0.667 0.667
CELL_PARAMETERS angstrom
4.368 0.000 0.000
-2.184 3.783 0.000
0.000 0.000 4.296
```



# 9
Sr8Ni2Au after structural relaxation. Source: Alexandria, functional PBE. Values from VASP.

Symmetry = P-3 (147)
Calculated total energy = -0.18812 Ry/atom

Geometry as Quantum ESPRESSO input:
```
&SYSTEM
  ibrav = 0, nat = 11, ntyp = 3
/
ATOMIC_SPECIES
Sr 87.62 Sr.upf
Ni 58.69 Ni.upf
Au 196.97 Au.upf
ATOMIC_POSITIONS crystal
Sr 0.250 0.667 0.333
Sr 0.750 0.333 0.667
Sr 0.749 0.836 0.162
Sr 0.251 0.162 0.325
Sr 0.251 0.675 0.836
Sr 0.251 0.164 0.838
Sr 0.749 0.838 0.675
Sr 0.749 0.325 0.164
Ni 0.250 0.333 0.667
Ni 0.750 0.667 0.333
Au 0.000 0.000 0.000
CELL_PARAMETERS angstrom
-1.470 5.402 3.157
-8.075 -3.882 2.881
7.785 -0.923 5.204
```



# 10
Sr2NiAu after structural relaxation. Source: Alexandria, functional PBE. Values from VASP.

Symmetry = F-43m (216)
Calculated total energy = -0.22471 Ry/atom

Geometry as Quantum ESPRESSO input:
```
&SYSTEM
  ibrav = 0, nat = 4, ntyp = 3
/
ATOMIC_SPECIES
Au 196.97 Au.upf
Ni 58.69 Ni.upf
Sr 87.62 Sr.upf
ATOMIC_POSITIONS crystal
Au 0.500 0.500 0.500
Ni 0.750 0.750 0.750
Sr 0.000 0.000 0.000
Sr 0.250 0.250 0.250
CELL_PARAMETERS angstrom
5.153 0.000 0.000
2.577 4.463 0.000
2.577 1.488 4.208
```



# 11
Sr2NiAu after structural relaxation. Source: Alexandria, functional PBE. Values from VASP.

Symmetry = Imm2 (44)
Calculated total energy = -0.24665 Ry/atom

Geometry as Quantum ESPRESSO input:
```
&SYSTEM
  ibrav = 0, nat = 4, ntyp = 3
/
ATOMIC_SPECIES
Au 196.97 Au.upf
Ni 58.69 Ni.upf
Sr 87.62 Sr.upf
ATOMIC_POSITIONS crystal
Au 0.427 0.427 0.000
Ni 0.325 0.825 0.500
Sr 0.996 0.996 0.000
Sr 0.751 0.251 0.500
CELL_PARAMETERS angstrom
7.535 0.284 -0.134
4.883 5.746 0.134
-6.136 -3.164 3.034
```



# 12
Sr2Ni2Au after structural relaxation. Source: Alexandria, functional PBE. Values from VASP.

Symmetry = I4/mmm (139)
Calculated total energy = -0.27419 Ry/atom
Polymorph energy (0 for the lowest one) = 32.8 kJ/mol of formula units

Geometry as Quantum ESPRESSO input:
```
&SYSTEM
  ibrav = 0, nat = 5, ntyp = 3
/
ATOMIC_SPECIES
Sr 87.62 Sr.upf
Au 196.97 Au.upf
Ni 58.69 Ni.upf
ATOMIC_POSITIONS crystal
Sr 0.385 0.385 0.230
Sr 0.615 0.615 0.770
Au 0.000 0.000 0.000
Ni 0.750 0.250 0.500
Ni 0.250 0.750 0.500
CELL_PARAMETERS angstrom
-0.538 -3.148 1.630
0.651 -1.709 -3.085
8.824 -2.849 1.356
```



# 13
Sr2NiAu after structural relaxation. Source: Alexandria, functional PBE. Values from VASP.

Symmetry = I-42d (122)
Calculated total energy = -0.22937 Ry/atom

Geometry as Quantum ESPRESSO input:
```
&SYSTEM
  ibrav = 0, nat = 8, ntyp = 3
/
ATOMIC_SPECIES
Sr 87.62 Sr.upf
Au 196.97 Au.upf
Ni 58.69 Ni.upf
ATOMIC_POSITIONS crystal
Sr 0.603 0.125 0.250
Sr 0.147 0.625 0.250
Sr 0.375 0.397 0.750
Sr 0.875 0.853 0.750
Au 0.000 0.000 0.000
Au 0.750 0.250 0.500
Ni 0.500 0.500 0.000
Ni 0.250 0.750 0.500
CELL_PARAMETERS angstrom
-4.704 6.196 2.106
-4.491 -1.170 -6.589
-6.752 0.241 -0.370
```



# 14
SrNiAu2 after structural relaxation. Source: Alexandria, functional PBE. Values from VASP.

Symmetry = Cm (8)
Calculated total energy = -0.28312 Ry/atom

Geometry as Quantum ESPRESSO input:
```
&SYSTEM
  ibrav = 0, nat = 4, ntyp = 3
/
ATOMIC_SPECIES
Au 196.97 Au.upf
Ni 58.69 Ni.upf
Sr 87.62 Sr.upf
ATOMIC_POSITIONS crystal
Au 0.953 0.953 0.140
Au 0.226 0.226 0.321
Ni 0.566 0.566 0.302
Sr 0.755 0.755 0.737
CELL_PARAMETERS angstrom
-3.651 -1.371 2.287
0.456 -1.886 4.084
-1.435 3.636 4.322
```



| no. | energy of formation (meV/atom) |
| --- | --- |
| 1 | -158 |
| 2 | -68 |
| 3 | -273 |
| 4 | -99 |
| 5 | -71 |
| 6 | -332 |
| 7 | -185 |
| 8 | -359 |
| 9 | 13 |
| 10 | 48 |
| 11 | -250 |
| 12 | -90 |
| 13 | -15 |
| 14 | -348 |